A relaxed structure of YTc2Br. Source: the Alexandria database, functional PBE-GGA.

Cell lengths 5.0871, 5.0871, 5.4527 Å; angles 74.28, 74.28, 40.49 degrees
Last column: nearest neighbours and their distance in Å.
Element x y z (fractional)
Br 0.2845 0.2845 0.2408  3 Y 2.84-2.97, 4 Tc 2.92-3.02
Tc 0.6778 0.6778 0.8818  2 Tc 2.34
Tc 0.0108 0.0108 0.9318  2 Tc 2.34
Y 0.5269 0.5269 0.4456  3 Br 2.84-2.97, 4 Tc 2.99-3.15

Computed properties:
Its space group is No. 8. The energy relative to the elements, uncorrected comes out at 193 meV per atom.

***

A relaxed structure of TaHg2P. Source: the Alexandria database, functional PBE-GGA.

Cell lengths 3.3074, 3.3074, 7.2793 Å; angles 90.00, 90.00, 90.00 degrees
Last column: nearest neighbours and their distance in Å.
Element x y z (fractional)
Hg 0.0000 0.0000 0.2701  1 Ta 3.05, 8 Hg 3.17-3.31, 4 P 3.17
Hg 0.5000 0.5000 0.9758  1 P 2.99, 4 Ta 3.13, 8 Hg 3.17-3.31
P 0.5000 0.5000 0.5645  4 Ta 2.51
Ta 0.0000 0.0000 0.6895  4 P 2.51

Computed properties:
Its space group is No. 99. Its energy of formation from the pure elements is -0.02 eV per atom.

***

A relaxed structure of Ho3Be3B8. Source: the Alexandria database, functional PBE-GGA.

Cell lengths 3.1838, 7.6910, 7.6910 Å; angles 54.44, 78.05, 78.05 degrees
Last column: nearest neighbours and their distance in Å.
Element x y z (fractional)
Be 0.0000 0.1966 0.8034  2 B 2.03, 2 Be 2.11
Be 0.5000 0.0000 0.0000  4 Be 2.11, 4 B 2.33
Be 0.0000 0.8034 0.1966  2 B 2.03, 2 Be 2.11
Ho 0.2220 0.7780 0.7780  12 B 2.66-2.77
Ho 0.7780 0.2220 0.2220  12 B 2.66-2.77
Ho 0.5000 0.5000 0.5000  12 B 2.46-2.57, 4 Be 2.66
B 0.1290 0.5213 0.2207  2 B 1.78
B 0.3775 0.8848 0.3602  2 B 1.78
B 0.1290 0.2207 0.5213  2 B 1.78
B 0.3775 0.3602 0.8848  2 B 1.78
B 0.8710 0.7793 0.4787  2 B 1.78
B 0.6225 0.1152 0.6398  2 B 1.78
B 0.8710 0.4787 0.7793  2 B 1.78
B 0.6225 0.6398 0.1152  2 B 1.78

Computed properties:
Its space group is No. 71. Its energy of formation from the pure elements is -0.22 eV per atom.

***

A relaxed structure of Pu2Zn5Au. Source: the Alexandria database, functional PBE-GGA.

Cell lengths 4.2989, 8.4043, 9.0679 Å; angles 90.00, 90.00, 104.78 degrees
Last column: nearest neighbours and their distance in Å.
Element x y z (fractional)
Au 0.4470 0.8941 0.7500  3 Zn 2.58-2.65
Au 0.5530 0.1059 0.2500  3 Zn 2.58-2.65
Pu 0.8028 0.6057 0.7500  11 Zn 3.07-3.26, 2 Au 3.18
Pu 0.0000 0.0000 0.5000  10 Zn 3.21-3.57, 4 Au 3.24
Pu 0.1972 0.3943 0.2500  11 Zn 3.07-3.26, 2 Au 3.18
Pu 0.0000 0.0000 0.0000  10 Zn 3.21-3.57, 4 Au 3.24
Zn 0.6548 0.3092 0.0214  4 Zn 2.51-2.68, 1 Au 2.65
Zn 0.3452 0.6908 0.9786  4 Zn 2.51-2.68, 1 Au 2.65
Zn 0.3452 0.6908 0.5214  4 Zn 2.51-2.68, 1 Au 2.65
Zn 0.3939 0.7879 0.2500  6 Zn 2.58-2.84, 1 Au 2.58
Zn 0.8118 0.6239 0.3912  4 Zn 2.51-2.68
Zn 0.6548 0.3092 0.4786  4 Zn 2.51-2.68, 1 Au 2.65
Zn 0.1882 0.3761 0.8912  4 Zn 2.51-2.68
Zn 0.1882 0.3761 0.6088  4 Zn 2.51-2.68
Zn 0.6061 0.2121 0.7500  6 Zn 2.58-2.84, 1 Au 2.58
Zn 0.8118 0.6239 0.1088  4 Zn 2.51-2.68

Computed properties:
Its space group is No. 63. Its energy of formation from the pure elements is -0.19 eV per atom.

***

Computed calculated total energy, in the same sequence as the records: -7.024 -4.482 -5.819 -4.984 eV per atom.
Computed total moment, in the same sequence as the records: 0.00 0.00 0.00 0.35 μB per formula unit.